A plane-wave DFT calculation with PBE was carried out for Dy2Er3Th2 after structural relaxation.

a = 3.5160 Å, b = 5.6945 Å, c = 11.4665 Å
α = 104.39°, β = 90.00°, γ = 90.00°
Positions (direct):
Th 0.0000 0.7047 0.4080
Th 0.0000 0.2953 0.5920
Er 0.0000 0.0000 0.0000
Dy 0.5000 0.4289 0.8579
Er 0.5000 0.8484 0.6975
Er 0.5000 0.1516 0.3025
Dy 0.5000 0.5711 0.1421

Its raw total energy is -37.3 eV for the cell shown. As for the energy of formation from the pure elements: 59 meV per atom. The density of states at the Fermi level is 10.52 states/eV per cell. As for the energy above the lowest structure with this stoichiometry: 0 meV/atom.

A plane-wave DFT calculation with PBE was carried out for LaPr2Pd after structural relaxation.

a = 3.9939 Å, b = 3.9939 Å, c = 9.9614 Å
α = 78.44°, β = 78.44°, γ = 60.00°
Positions (direct):
La 0.5004 0.5004 0.4988
Pr 0.2708 0.2708 0.1877
Pr 0.0624 0.0624 0.8127
Pd 0.6664 0.6664 0.0008

Its raw total energy is -20.7 eV for the cell shown. As for the energy of formation from the pure elements: -251 meV per atom. The density of states at the Fermi level is 4.91 states/eV per cell. As for the energy above the lowest structure with this stoichiometry: 155 meV/atom.

A plane-wave DFT calculation with PBE was carried out for VAsBrCl2 after structural relaxation.

a = 5.0328 Å, b = 5.4522 Å, c = 5.0328 Å
α = 90.00°, β = 90.00°, γ = 90.00°
Last column: magnetic moment on the atom in μB.
Positions (direct):
V 0.5000 0.5000 0.5000  2.97
Cl 0.5000 0.0000 0.0000  -0.01
Cl 0.0000 0.0000 0.5000  -0.01
Br 0.0000 0.0000 0.0000  0.02
As 0.0000 0.5000 0.0000  -0.22

Its raw total energy is -14.6 eV for the cell shown. The density of states at the Fermi level is 2.60 states/eV per cell.

A plane-wave DFT calculation with PBE was carried out for Sm2ZrAu after structural relaxation.

a = 3.5323 Å, b = 3.5323 Å, c = 8.4896 Å
α = 90.00°, β = 90.00°, γ = 90.00°
Positions (direct):
Zr 0.5000 0.5000 0.5000
Sm 0.0000 0.0000 0.7708
Au 0.5000 0.5000 0.0000
Sm 0.0000 0.0000 0.2292

Its raw total energy is -22.5 eV for the cell shown. As for the energy of formation from the pure elements: -311 meV per atom. The density of states at the Fermi level is 3.52 states/eV per cell.

A plane-wave DFT calculation with PBE was carried out for AcMg4 after structural relaxation.

a = 6.4506 Å, b = 6.4506 Å, c = 6.4506 Å
α = 90.00°, β = 90.00°, γ = 90.00°
Positions (direct):
Mg 0.5000 0.0000 0.5000
Mg 0.0000 0.0000 0.0000
Mg 0.5000 0.5000 0.0000
Mg 0.0000 0.5000 0.5000
Ac 0.5000 0.5000 0.5000

Its raw total energy is -4.8 eV for the cell shown. As for the energy of formation from the pure elements: 1128 meV per atom. The density of states at the Fermi level is 5.36 states/eV per cell. As for the energy above the lowest structure with this stoichiometry: 1160 meV/atom.

A plane-wave DFT calculation with PBE was carried out for Ca2FeBr after structural relaxation.

a = 5.9358 Å, b = 5.9358 Å, c = 5.0250 Å
α = 90.01°, β = 90.01°, γ = 34.99°
Last column: magnetic moment on the atom in μB.
Positions (direct):
Fe 0.4758 0.4758 0.6251  2.55
Br 0.2789 0.2789 0.1252  -0.01
Ca 0.7359 0.7359 0.6249  -0.15
Ca 0.0094 0.0094 0.1248  -0.15

Its raw total energy is -14.9 eV for the cell shown. The density of states at the Fermi level is 5.29 states/eV per cell. As for the energy above the lowest structure with this stoichiometry: 139 meV/atom.

Q: What is the raw total energy in the first record?
A: -37.3 eV for the cell shown

Q: What is the formula in the fifth record?
A: AcMg4

Q: Which value of raw total energy does entry 6 give?
A: -14.9 eV for the cell shown

Q: raw total energy of number 2 (LaPr2Pd)?
A: -20.7 eV for the cell shown